WS3I | Alexandria via LeMat-Bulk | PBE-GGA | relaxed; polymorph energy (0 for the lowest one) = 32.0 meV per atom; M_tot = 0.000 μB/f.u.; N(E_F) = 4.4 states/eV/f.u.; raw formation energy = 0.202 eV per atom
1.0
-3.276 3.276 6.176
3.276 -3.276 6.176
3.276 3.276 -6.176
W S I
2 6 2
direct
0.000 0.000 0.000
0.750 0.250 0.500
0.173 0.673 0.500
0.327 0.827 0.500
0.372 0.120 0.252
0.868 0.120 0.748
0.880 0.132 0.252
0.880 0.628 0.748
0.363 0.363 0.000
0.637 0.637 0.000